No. 1
Here is a relaxed structure of Nd6DyY12 from the Alexandria database. Energies are from PBE.

Calculated values
Symmetry: R-3m
Size of the total moment, μB per cell: 0.0
Formation energy from the elements, eV/atom: 0.12

Cell lengths 8.740, 8.740, 8.740 Å; angles 79.69, 79.69, 79.69 degrees
Positions (direct):
Y 0.804 0.485 0.485
Y 0.485 0.137 0.137
Y 0.137 0.485 0.137
Y 0.137 0.137 0.485
Y 0.196 0.515 0.515
Y 0.485 0.804 0.485
Y 0.863 0.515 0.863
Y 0.515 0.196 0.515
Y 0.863 0.863 0.515
Y 0.515 0.515 0.196
Y 0.515 0.863 0.863
Y 0.485 0.485 0.804
Nd 0.163 0.769 0.770
Nd 0.837 0.231 0.230
Nd 0.230 0.837 0.231
Nd 0.231 0.230 0.837
Nd 0.769 0.770 0.163
Nd 0.770 0.163 0.769
Dy 0.000 0.000 0.000


No. 2
Here is a relaxed structure of Nd8Dy6Y from the Alexandria database. Energies are from PBE.

Calculated values
Symmetry: R-3
Size of the total moment, μB per cell: 0.0
Formation energy from the elements, eV/atom: 0.12

Cell lengths 9.170, 9.170, 8.771 Å; angles 58.48, 58.48, 60.00 degrees
Positions (direct):
Nd 0.578 0.578 0.267
Nd 0.750 0.717 0.420
Nd 0.250 0.283 0.580
Nd 0.888 0.250 0.580
Nd 0.717 0.112 0.420
Nd 0.422 0.422 0.733
Nd 0.283 0.888 0.580
Nd 0.112 0.750 0.420
Dy 0.097 0.247 0.117
Dy 0.539 0.097 0.117
Dy 0.247 0.539 0.117
Dy 0.461 0.903 0.883
Dy 0.903 0.753 0.883
Dy 0.753 0.461 0.883
Y 0.000 0.000 0.000